Material: SrAgO2
Method: DFT, PBE-GGA
State: optimized geometry

Calculated values
The value obtained for the volume is 74.9 Å³/f.u. As for the energy relative to the elements, uncorrected: -1194 meV per atom. The calculation puts the total moment at 1.00 μB per formula unit.

```
SrAgO2
1.0
-2.496 2.496 6.010
2.496 -2.496 6.010
2.496 2.496 -6.010
Sr Ag O
2 2 4
Direct
0.000 0.000 0.000 Sr
0.750 0.250 0.500 Sr
0.250 0.750 0.500 Ag
0.500 0.500 0.000 Ag
0.162 0.625 0.037 O
0.375 0.412 0.537 O
0.588 0.125 0.963 O
0.875 0.838 0.463 O
```

=====

Material: InFeIr2
Method: DFT, PBE-GGA
State: optimized geometry

Calculated values
The value obtained for the volume is 62.2 Å³/f.u. The calculation puts the total moment at 3.00 μB per formula unit. As for the energy of formation from the pure elements: 0.12 eV per atom.

```
InFeIr2
1.0
2.825 0.000 0.000
0.000 3.890 0.000
0.000 0.000 5.658
In Fe Ir
1 1 2
Direct
0.000 0.000 0.000 In
0.500 0.500 0.705 Fe
0.000 0.000 0.517 Ir
0.500 0.500 0.256 Ir
```

=====

Material: TmAl6Co
Method: DFT, PBE-GGA
State: optimized geometry

Calculated values
The value obtained for the volume is 159.5 Å³/f.u. The calculation puts the total moment at 0.00 μB per formula unit. As for the energy of formation from the pure elements: -0.02 eV per atom.

```
TmAl6Co
1.0
2.936 1.695 5.342
-2.936 1.695 5.342
0.000 -3.390 5.342
Tm Al Co
1 6 1
Direct
0.000 0.000 0.000 Tm
0.058 0.597 0.597 Al
0.403 0.403 0.942 Al
0.403 0.942 0.403 Al
0.597 0.058 0.597 Al
0.597 0.597 0.058 Al
0.942 0.403 0.403 Al
0.500 0.500 0.500 Co
```

=====

Material: Tm3Bi2Se
Method: DFT, PBE-GGA
State: optimized geometry

Calculated values
The value obtained for the volume is 168.7 Å³/f.u. As for the energy relative to the elements, uncorrected: -1056 meV per atom. The calculation puts the total moment at 0.00 μB per formula unit. The energy above the lowest structure with this stoichiometry comes out at 0 meV/atom.

```
Tm3Bi2Se
1.0
0.000 6.089 12.877
4.303 0.000 12.877
4.303 6.089 0.000
Tm Bi Se
12 8 4
Direct
0.041 0.537 0.199 Tm
0.109 0.641 0.641 Tm
0.199 0.724 0.041 Tm
0.276 0.801 0.463 Tm
0.359 0.891 0.891 Tm
0.463 0.959 0.276 Tm
0.537 0.041 0.724 Tm
0.641 0.109 0.109 Tm
0.724 0.199 0.537 Tm
0.801 0.276 0.959 Tm
0.891 0.359 0.359 Tm
0.959 0.463 0.801 Tm
0.127 0.127 0.623 Bi
0.294 0.294 0.456 Bi
0.377 0.377 0.873 Bi
0.456 0.456 0.294 Bi
0.544 0.544 0.706 Bi
0.623 0.623 0.127 Bi
0.706 0.706 0.544 Bi
0.873 0.873 0.377 Bi
0.042 0.042 0.208 Se
0.208 0.208 0.042 Se
0.792 0.792 0.958 Se
0.958 0.958 0.792 Se
```